Computed, not measured: an optimized crystal structure of Gd2DyF at the PBE level of DFT.

Properties
The uncorrected energy comes out at -9.79 eV per atom. For the volume, the calculation gives 25.617 Å³ per atom. The calculation puts the formation energy (no corrections) at -1.130 eV/atom.

Geometry as CIF:
```
data_Gd2DyF
_symmetry_space_group_name_H-M 'R -3 m'
_symmetry_Int_Tables_number 166
_symmetry_space_group_name_Hall '-R 3 2"'
_cell_length_a 3.7131
_cell_length_b 3.7131
_cell_length_c 25.7454
_cell_angle_alpha 90.00
_cell_angle_beta 90.00
_cell_angle_gamma 120.00
loop_
_atom_site_label
_atom_site_fract_x
_atom_site_fract_y
_atom_site_fract_z
Gd1 0.0000 0.0000 0.2236
Dy1 0.0000 0.0000 0.0000
F1 0.0000 0.0000 0.5000
```



Computed, not measured: an optimized crystal structure of Ca2TcAs at the PBE level of DFT.

Properties
The uncorrected energy comes out at -4.53 eV per atom. For the volume, the calculation gives 22.552 Å³ per atom. For the calculated formation energy, the calculation gives 21.8 kJ per mole of atoms.

Geometry as CIF:
```
data_Ca2TcAs
_symmetry_space_group_name_H-M 'R -3 m'
_symmetry_Int_Tables_number 166
_symmetry_space_group_name_Hall '-R 3 2"'
_cell_length_a 3.3423
_cell_length_b 3.3423
_cell_length_c 27.9741
_cell_angle_alpha 90.00
_cell_angle_beta 90.00
_cell_angle_gamma 120.00
loop_
_atom_site_label
_atom_site_fract_x
_atom_site_fract_y
_atom_site_fract_z
Ca1 0.0000 0.0000 0.2489
Tc1 0.0000 0.0000 0.5000
As1 0.0000 0.0000 0.0000
```



Repeat the second record exactly.
Computed, not measured: an optimized crystal structure of Ca2TcAs at the PBE level of DFT.

Properties
The uncorrected energy comes out at -4.53 eV per atom. For the volume, the calculation gives 22.552 Å³ per atom. For the calculated formation energy, the calculation gives 21.8 kJ per mole of atoms.

Geometry as CIF:
```
data_Ca2TcAs
_symmetry_space_group_name_H-M 'R -3 m'
_symmetry_Int_Tables_number 166
_symmetry_space_group_name_Hall '-R 3 2"'
_cell_length_a 3.3423
_cell_length_b 3.3423
_cell_length_c 27.9741
_cell_angle_alpha 90.00
_cell_angle_beta 90.00
_cell_angle_gamma 120.00
loop_
_atom_site_label
_atom_site_fract_x
_atom_site_fract_y
_atom_site_fract_z
Ca1 0.0000 0.0000 0.2489
Tc1 0.0000 0.0000 0.5000
As1 0.0000 0.0000 0.0000
```



volume of number 1 (Gd2DyF)?
25.617 Å³ per atom



What is the uncorrected energy in the second record?
-4.53 eV per atom